[1]
# Sc4ReRh

An optimized crystal structure of Sc4ReRh (GGA-PBEsol, the Alexandria database).

Lattice parameters (Å, degrees): 5.3179 5.3179 5.3179 60.00 60.00 60.00
With the nearest neighbours (Å) after each atom.
Positions (direct):
Sc (0.3751, 0.8747, 0.3751)  6 Sc 2.66
Sc (0.3751, 0.3751, 0.3751)  6 Sc 2.66
Sc (0.8747, 0.3751, 0.3751)  6 Sc 2.66
Sc (0.3751, 0.3751, 0.8747)  6 Sc 2.66
Re (0.7500, 0.7500, 0.7500)  12 Sc 3.12, 4 Rh 3.26
Rh (0.0000, 0.0000, 0.0000)  12 Sc 3.12, 4 Re 3.26

The value obtained for the magnetic moment is 0.000 μB per formula unit. Its formation energy is 0.513 eV/atom. The calculation puts the total energy at -7.47 eV/atom. The density of states at the Fermi level comes out at 0.9523 states/eV per atom. The calculated density comes out at 7.32 g cm⁻³.

---

[2]
# ScReRh2

An optimized crystal structure of ScReRh2 (GGA-PBEsol, the Alexandria database).

Lattice parameters (Å, degrees): 4.4063 4.4063 4.4063 60.00 60.00 60.00
With the nearest neighbours (Å) after each atom.
Positions (direct):
Re (0.0000, 0.0000, 0.0000)  8 Rh 2.70
Rh (0.2500, 0.2500, 0.2500)  4 Re 2.70, 4 Sc 2.70
Rh (0.7500, 0.7500, 0.7500)  4 Sc 2.70, 4 Re 2.70
Sc (0.5000, 0.5000, 0.5000)  8 Rh 2.70

The value obtained for the magnetic moment is 0.001 μB per formula unit. Its formation energy is -0.096 eV/atom. The calculation puts the total energy at -9.15 eV/atom. The density of states at the Fermi level comes out at 1.9084 states/eV per atom. The calculated density comes out at 12.00 g cm⁻³.

---

[3]
# ScRe2Rh

An optimized crystal structure of ScRe2Rh (GGA-PBEsol, the Alexandria database).

Lattice parameters (Å, degrees): 4.4052 4.4052 4.4052 60.00 60.00 60.00
With the nearest neighbours (Å) after each atom.
Positions (direct):
Re (0.7500, 0.7500, 0.7500)  4 Sc 2.70, 4 Rh 2.70
Re (0.2500, 0.2500, 0.2500)  4 Rh 2.70, 4 Sc 2.70
Sc (0.5000, 0.5000, 0.5000)  8 Re 2.70
Rh (0.0000, 0.0000, 0.0000)  8 Re 2.70

The value obtained for the magnetic moment is 0.868 μB per formula unit. Its energy above the most stable polymorph in this dataset is 343.1 meV per atom. Its formation energy is 0.339 eV/atom. The calculation puts the total energy at -10.01 eV/atom. The density of states at the Fermi level comes out at 1.9833 states/eV per atom. The calculated density comes out at 14.29 g cm⁻³.

---

[4]
# ZrScRe2Rh

An optimized crystal structure of ZrScRe2Rh (GGA-PBEsol, the Alexandria database).

Lattice parameters (Å, degrees): 4.4582 4.4582 4.6442 90.00 90.00 90.00
With the nearest neighbours (Å) after each atom.
Positions (direct):
Sc (0.0000, 0.0000, 0.0000)  4 Re 2.23, 2 Zr 2.32
Re (0.5000, 0.0000, 0.0000)  2 Sc 2.23
Re (0.0000, 0.5000, 0.0000)  2 Sc 2.23
Zr (0.0000, 0.0000, 0.5000)  2 Sc 2.32
Rh (0.5000, 0.5000, 0.5000)  4 Zr 3.15, 8 Re 3.22

The value obtained for the magnetic moment is 0.000 μB per formula unit. Its formation energy is 1.987 eV/atom. The calculation puts the total energy at -8.11 eV/atom. The density of states at the Fermi level comes out at 1.1263 states/eV per atom. The calculated density comes out at 11.00 g cm⁻³.